Computed, not measured: an optimized crystal structure of DyIn4Rh5 at the GGA-PBE level of DFT. Values from VASP.

Summary:
energy of formation from the pure elements = -498 kJ/mol of formula units
DOS(E_F) = 4.239 states/eV/f.u.
spin magnetization = 0.000 Bohr magnetons per cell
E_tot = -5.75 eV per atom

Quantum ESPRESSO input file:
```
&SYSTEM
  ibrav = 0, nat = 10, ntyp = 3
/
ATOMIC_SPECIES
Dy 162.50 Dy.upf
In 114.82 In.upf
Rh 102.91 Rh.upf
ATOMIC_POSITIONS crystal
Dy 0.0000 0.0000 0.0000
In 0.0000 0.0000 0.2048
In 0.0000 0.0000 0.4016
In 0.0000 0.0000 0.5984
In 0.0000 0.0000 0.7952
Rh 0.5000 0.5000 0.1079
Rh 0.5000 0.5000 0.3037
Rh 0.5000 0.5000 0.5000
Rh 0.5000 0.5000 0.6963
Rh 0.5000 0.5000 0.8921
CELL_PARAMETERS angstrom
3.3123 0.0000 0.0000
0.0000 3.3123 0.0000
0.0000 0.0000 15.9871
```

---

Computed, not measured: an optimized crystal structure of AgP2SO at the GGA-PBE level of DFT. Values from VASP.

Summary:
uncorrected formation energy = 5.59 eV per formula unit
DOS(E_F) = 3.644 states/eV/f.u.
excess energy over the best structure of this formula in the dataset = 0.625 eV per atom
spin magnetization = 0.000 Bohr magnetons per cell
E_tot = -3.43 eV per atom

Quantum ESPRESSO input file:
```
&SYSTEM
  ibrav = 0, nat = 5, ntyp = 4
/
ATOMIC_SPECIES
Ag 107.87 Ag.upf
P 30.97 P.upf
S 32.06 S.upf
O 16.00 O.upf
ATOMIC_POSITIONS crystal
Ag 0.0000 0.0000 0.0000
P 0.0000 0.5000 0.0000
P 0.5000 0.0000 0.0000
S 0.5000 0.5000 0.5000
O 0.0000 0.0000 0.5000
CELL_PARAMETERS angstrom
4.8333 0.0000 0.0000
0.0000 4.8333 0.0000
0.0000 0.0000 3.9160
```

---

Computed, not measured: an optimized crystal structure of ErPuSi at the GGA-PBE level of DFT. Values from VASP.

Summary:
uncorrected formation energy = -0.65 eV per formula unit
DOS(E_F) = 5.638 states/eV/f.u.
excess energy over the best structure of this formula in the dataset = 0.000 eV per atom
spin magnetization = 6.217 Bohr magnetons per cell
E_tot = -8.32 eV per atom

Quantum ESPRESSO input file:
```
&SYSTEM
  ibrav = 0, nat = 3, ntyp = 3
/
ATOMIC_SPECIES
Er 167.26 Er.upf
Pu 244.00 Pu.upf
Si 28.09 Si.upf
ATOMIC_POSITIONS crystal
Er 0.0000 0.0000 0.0000
Pu 0.5000 0.5000 0.5000
Si 0.2500 0.2500 0.2500
CELL_PARAMETERS angstrom
0.0000 3.4106 3.4106
3.4106 0.0000 3.4106
3.4106 3.4106 0.0000
```

---

Computed, not measured: an optimized crystal structure of ZrAl2Pb at the GGA-PBE level of DFT. Values from VASP.

Summary:
energy of formation from the pure elements = -22 kJ/mol of formula units
DOS(E_F) = 2.769 states/eV/f.u.
spin magnetization = 0.000 Bohr magnetons per cell
E_tot = -4.99 eV per atom

Quantum ESPRESSO input file:
```
&SYSTEM
  ibrav = 0, nat = 4, ntyp = 3
/
ATOMIC_SPECIES
Zr 91.22 Zr.upf
Al 26.98 Al.upf
Pb 207.20 Pb.upf
ATOMIC_POSITIONS crystal
Zr 0.0000 0.0000 0.0000
Al 0.0000 0.5000 0.5000
Al 0.5000 0.0000 0.5000
Pb 0.5000 0.5000 0.0000
CELL_PARAMETERS angstrom
4.4243 0.0000 0.0000
0.0000 4.4243 0.0000
0.0000 0.0000 4.1862
```